A plane-wave DFT calculation with GGA-PBE was carried out for crystalline Li2MgFe at its relaxed geometry.

It has space group P4/mmm (No. 123), with a = 2.781 Å, b = 2.781 Å, c = 8.380 Å, α = 90.00°, β = 90.00° and γ = 90.00°. The inequivalent atoms are Li at (0.000, 0.000, 0.222), Mg at (0.500, 0.500, 0.500) and Fe at (0.500, 0.500, 0.000).

The magnetic moment is 2.46 μB/cell.

---

A plane-wave DFT calculation with GGA-PBE was carried out for crystalline LiMgFe2 at its relaxed geometry.

It has space group P2/m (No. 10), with a = 2.610 Å, b = 4.446 Å, c = 4.775 Å, α = 90.00°, β = 100.62° and γ = 90.00°. The inequivalent atoms are Li at (0.000, 0.000, 0.000), Mg at (0.500, 0.000, 0.500) and Fe at (0.211, 0.500, 0.762).

The magnetic moment is 4.43 μB/cell.

---

ΔE_f for every record listed, in sequence, given in meV/atom: 274, 288.
Total DFT energy (no corrections) for every record listed, in sequence, given in eV/f.u.: -12.8, -19.3.